## HfCrBiO2 (PBE with a Hubbard U)

Data for a relaxed structure of HfCrBiO2.

Volume in Å³ per cell: 87
Mass density in kg/m3: 9002
Raw total energy in eV/atom: -6.5785

```
HfCrBiO2
1.0
-0.723 2.099 -3.361
2.093 -3.970 -2.929
-3.637 -1.708 -0.285
Cr O Hf Bi
1 2 1 1
Cartesian
0.000 0.000 0.000 Cr
-1.819 -0.854 -0.142 O
-0.361 1.050 -1.681 O
-1.133 -1.789 -3.288 Hf
1.047 -1.985 -1.465 Bi
```